VASP calculation (PBE-GGA) on crystalline HoTmTlS at its relaxed geometry.

## Properties
Spin magnetization: 0.00 Bohr magnetons per cell
Calculated total energy: -0.368 Ry per atom

The structure in CIF format:
```
data_HoTmTlS
_chemical_formula_sum 'Ho2 Tm2 Tl2 S2'
_cell_length_a 6.499
_cell_length_b 3.755
_cell_length_c 8.351
_cell_angle_alpha 90.00
_cell_angle_beta 104.95
_cell_angle_gamma 90.00
_symmetry_space_group_name_H-M 'C 1 m 1'
_symmetry_Int_Tables_number 8
loop_
_symmetry_equiv_pos_as_xyz
'x,y,z'
'x,-y,z'
'x+1/2,y+1/2,z'
'x+1/2,-y+1/2,z'
loop_
_atom_site_label
_atom_site_type_symbol
_atom_site_fract_x
_atom_site_fract_y
_atom_site_fract_z
Ho1 Ho 0.000 0.000 0.000
Tm1 Tm 0.202 0.000 0.605
Tl1 Tl 0.435 0.000 0.304
S1 S 0.101 0.500 0.803
```